one:
# Y2MgO

A relaxed Y2MgO crystal (PBE, the Alexandria database).

Cell lengths 7.009, 7.009, 6.445 Å; angles 57.07, 57.07, 90.00 degrees
Fractional positions:
Y 0.503 0.125 0.250
Y 0.247 0.625 0.250
Y 0.375 0.497 0.750
Y 0.875 0.753 0.750
Mg 0.000 0.000 0.000
Mg 0.750 0.250 0.500
O 0.500 0.500 0.000
O 0.250 0.750 0.500

density of states at the Fermi level: 0.34 states/eV per atom

---

two:
# Y2MgO

A relaxed Y2MgO crystal (PBE, the Alexandria database).

Cell lengths 5.016, 5.016, 5.016 Å; angles 60.00, 60.00, 60.00 degrees
Fractional positions:
Y 0.250 0.250 0.250
Y 0.750 0.750 0.750
Mg 0.500 0.500 0.500
O 0.000 0.000 0.000

density of states at the Fermi level: 1.59 states/eV per atom

---

Least stable of them? two.

---

one:
# YMg3O

A relaxed YMg3O crystal (PBE, the Alexandria database).

Cell lengths 4.623, 4.623, 4.623 Å; angles 90.00, 90.00, 90.00 degrees
Fractional positions:
Y 0.500 0.500 0.500
Mg 0.000 0.500 0.000
Mg 0.000 0.000 0.500
Mg 0.500 0.000 0.000
O 0.000 0.000 0.000

density of states at the Fermi level: 0.61 states/eV per atom

---

two:
# YMg3O

A relaxed YMg3O crystal (PBE, the Alexandria database).

Cell lengths 6.128, 6.128, 6.128 Å; angles 90.00, 90.00, 90.00 degrees
Fractional positions:
Y 0.000 0.000 0.000
Mg 0.000 0.500 0.000
Mg 0.000 0.000 0.500
Mg 0.500 0.000 0.000
O 0.500 0.500 0.500

density of states at the Fermi level: 0.91 states/eV per atom

---

Least stable of them? two.

---

one:
# MgZn3O

A relaxed MgZn3O crystal (PBE, the Alexandria database).

Cell lengths 5.057, 5.057, 5.057 Å; angles 90.00, 90.00, 90.00 degrees
Fractional positions:
Zn 0.000 0.500 0.000
Zn 0.000 0.000 0.500
Zn 0.500 0.000 0.000
Mg 0.000 0.000 0.000
O 0.500 0.500 0.500

density of states at the Fermi level: 1.93 states/eV per atom

---

two:
# MgZn3O

A relaxed MgZn3O crystal (PBE, the Alexandria database).

Cell lengths 4.316, 4.316, 4.316 Å; angles 90.00, 90.00, 90.00 degrees
Fractional positions:
Zn 0.000 0.500 0.000
Zn 0.000 0.000 0.500
Zn 0.500 0.000 0.000
Mg 0.500 0.500 0.500
O 0.000 0.000 0.000

density of states at the Fermi level: 0.39 states/eV per atom

---

Least stable of them? one.